Crystalline In2NiTe at its relaxed geometry. Source: Alexandria, functional PBE.

Structure (POSCAR):
```
In2NiTe
1.0
2.303 -2.309 0.000
2.303 2.309 0.000
0.000 0.000 8.757
In Ni Te
2 1 1
Direct
0.000 0.000 0.000
0.500 0.500 0.292
0.500 0.500 0.790
0.000 0.000 0.632
```

Summary:
Raw formation energy = 50 meV per atom